Record 1
Computed, not measured: a relaxed Mg3SnAs crystal at the PBE-GGA level of DFT.

Cell lengths 5.2618, 5.2618, 5.2618 Å; angles 90.00, 90.00, 90.00 degrees
Closest atoms and distances in Å follow each position.
Fractional coordinates of all 5 atoms:
Mg  0.0000  0.0000  0.5000  2 Sn 2.63
Mg  0.0000  0.5000  0.0000  2 Sn 2.63
Mg  0.5000  0.0000  0.0000  2 Sn 2.63
Sn  0.0000  0.0000  0.0000  6 Mg 2.63
As  0.5000  0.5000  0.5000  12 Mg 3.72

Summary:
formation energy: 352 meV per atom
energy above the most stable polymorph in this dataset: 427.7 meV/atom
magnetization: 0.8 μB per cell
V: 146 Å³/f.u.

Record 2
Computed, not measured: a relaxed RbVTcS3 crystal at the PBE-GGA level of DFT.

Cell lengths 8.5568, 3.4519, 9.6717 Å; angles 90.00, 115.96, 90.00 degrees
Closest atoms and distances in Å follow each position.
Fractional coordinates of all 12 atoms:
Rb  0.0061  0.2500  0.2489  7 S 3.24-3.53, 2 Rb 3.45
Rb  0.9939  0.7500  0.7511  7 S 3.24-3.53, 2 Rb 3.45
V  0.4671  0.2500  0.1589  6 S 2.41-2.50
V  0.5329  0.7500  0.8411  6 S 2.41-2.50
Tc  0.4716  0.7500  0.3837  4 S 2.31-2.48
Tc  0.5284  0.2500  0.6163  4 S 2.31-2.48
S  0.2589  0.7500  0.1296  1 Tc 2.33, 2 V 2.41
S  0.3312  0.7500  0.5599  3 Tc 2.31-2.48, 1 V 2.50
S  0.3502  0.2500  0.8770  3 V 2.45-2.46
S  0.6498  0.7500  0.1230  3 V 2.45-2.46
S  0.6688  0.2500  0.4401  3 Tc 2.31-2.48, 1 V 2.50
S  0.7411  0.2500  0.8704  1 Tc 2.33, 2 V 2.41

Summary:
formation energy from raw total energies: -0.817 eV per atom
magnetization: 0.7 μB per cell
V: 128 Å³/f.u.

Record 3
Computed, not measured: a relaxed Na2CdO2 crystal at the PBE-GGA level of DFT.

Cell lengths 6.2500, 6.2500, 7.5253 Å; angles 116.73, 116.73, 42.27 degrees
Closest atoms and distances in Å follow each position.
Fractional coordinates of all 10 atoms:
Na  0.0203  0.0203  0.2083  4 O 2.32-2.42
Na  0.3353  0.3353  0.9694  4 O 2.32-2.49
Na  0.6647  0.6647  0.0306  4 O 2.32-2.49
Na  0.9797  0.9797  0.7917  4 O 2.32-2.42
Cd  0.3457  0.3457  0.3929  2 O 2.06-2.08
Cd  0.6543  0.6543  0.6071  2 O 2.06-2.08
O  0.1819  0.1819  0.1116  1 Cd 2.06
O  0.4853  0.4853  0.6980  1 Cd 2.08
O  0.5147  0.5147  0.3020  1 Cd 2.08
O  0.8181  0.8181  0.8884  1 Cd 2.06

Summary:
formation energy from raw total energies: -1.157 eV per atom
magnetization: 0.0 μB per cell
V: 87 Å³/f.u.

Record 4
Computed, not measured: a relaxed Mg2SnS4 crystal at the PBE-GGA level of DFT.

Cell lengths 13.0940, 7.5922, 6.2738 Å; angles 90.00, 90.00, 90.00 degrees
Closest atoms and distances in Å follow each position.
Fractional coordinates of all 28 atoms:
Mg  0.0000  0.0000  0.0000  6 S 2.56-2.67
Mg  0.0000  0.5000  0.0000  6 S 2.56-2.67
Mg  0.2305  0.2500  0.4992  6 S 2.58-2.75
Mg  0.2695  0.7500  0.9992  6 S 2.58-2.75
Mg  0.5000  0.0000  0.5000  6 S 2.56-2.67
Mg  0.5000  0.5000  0.5000  6 S 2.56-2.67
Mg  0.7305  0.2500  0.0008  6 S 2.58-2.75
Mg  0.7695  0.7500  0.5008  6 S 2.58-2.75
Sn  0.0897  0.7500  0.4246  4 S 2.39-2.43
Sn  0.4103  0.2500  0.9246  4 S 2.39-2.43
Sn  0.5897  0.7500  0.0754  4 S 2.39-2.43
Sn  0.9103  0.2500  0.5754  4 S 2.39-2.43
S  0.0755  0.2500  0.7523  1 Sn 2.43, 3 Mg 2.58-2.64
S  0.0926  0.7500  0.8052  1 Sn 2.39, 3 Mg 2.56-2.62
S  0.1683  0.5042  0.2416  1 Sn 2.42, 2 Mg 2.65-2.67
S  0.1683  0.9958  0.2416  1 Sn 2.42, 2 Mg 2.65-2.67
S  0.3317  0.0042  0.7416  1 Sn 2.42, 2 Mg 2.65-2.67
S  0.3317  0.4958  0.7416  1 Sn 2.42, 2 Mg 2.65-2.67
S  0.4074  0.2500  0.3052  1 Sn 2.39, 3 Mg 2.56-2.62
S  0.4245  0.7500  0.2523  1 Sn 2.43, 3 Mg 2.58-2.64
S  0.5755  0.2500  0.7477  1 Sn 2.43, 3 Mg 2.58-2.64
S  0.5926  0.7500  0.6948  1 Sn 2.39, 3 Mg 2.56-2.62
S  0.6683  0.5042  0.2584  1 Sn 2.42, 2 Mg 2.65-2.67
S  0.6683  0.9958  0.2584  1 Sn 2.42, 2 Mg 2.65-2.67
S  0.8317  0.0042  0.7584  1 Sn 2.42, 2 Mg 2.65-2.67
S  0.8317  0.4958  0.7584  1 Sn 2.42, 2 Mg 2.65-2.67
S  0.9074  0.2500  0.1948  1 Sn 2.39, 3 Mg 2.56-2.62
S  0.9245  0.7500  0.2477  1 Sn 2.43, 3 Mg 2.58-2.64

Summary:
formation energy from raw total energies: -0.971 eV per atom
energy above the most stable polymorph in this dataset: 0.0 meV/atom
magnetization: 0.0 μB per cell
V: 156 Å³/f.u.

Record 5
Computed, not measured: a relaxed Nd2ZnAs crystal at the PBE-GGA level of DFT.

Cell lengths 7.9357, 7.9357, 7.9357 Å; angles 30.53, 30.53, 30.53 degrees
Closest atoms and distances in Å follow each position.
Fractional coordinates of all 4 atoms:
Nd  0.0000  0.0000  0.0000  3 As 2.94, 3 Zn 3.22
Nd  0.1853  0.1853  0.1853  3 As 2.94, 3 Zn 3.18
Zn  0.7604  0.7604  0.7604  6 Nd 3.18-3.22
As  0.5927  0.5927  0.5927  6 Nd 2.94

Summary:
formation energy: -738 meV per atom
energy above the most stable polymorph in this dataset: 3.1 meV/atom
magnetization: 0.0 μB per cell
V: 114 Å³/f.u.

Record 6
Computed, not measured: a relaxed AcPm2PrTl4 crystal at the PBE-GGA level of DFT.

Cell lengths 9.7131, 9.7131, 9.7131 Å; angles 33.55, 33.55, 33.55 degrees
Closest atoms and distances in Å follow each position.
Fractional coordinates of all 8 atoms:
Ac  0.0000  0.0000  0.0000  8 Tl 3.46-3.49
Pm  0.2496  0.2496  0.2496  8 Tl 3.37-3.51
Pm  0.7504  0.7504  0.7504  8 Tl 3.37-3.51
Pr  0.5000  0.5000  0.5000  8 Tl 3.37-3.42
Tl  0.1270  0.1270  0.1270  4 Pm 3.37-3.45, 3 Pr 3.42, 1 Ac 3.49
Tl  0.3774  0.3774  0.3774  1 Pr 3.37, 4 Pm 3.41-3.51, 3 Ac 3.46
Tl  0.6226  0.6226  0.6226  1 Pr 3.37, 4 Pm 3.41-3.51, 3 Ac 3.46
Tl  0.8730  0.8730  0.8730  4 Pm 3.37-3.45, 3 Pr 3.42, 1 Ac 3.49

Summary:
formation energy: -361 meV per atom
magnetization: 0.0 μB per cell
V: 249 Å³/f.u.

Record 7
Computed, not measured: a relaxed UTiBi2 crystal at the PBE-GGA level of DFT.

Cell lengths 7.6560, 7.6560, 7.6560 Å; angles 31.79, 31.79, 31.79 degrees
Closest atoms and distances in Å follow each position.
Fractional coordinates of all 4 atoms:
U  0.0000  0.0000  0.0000  6 Bi 3.17
Ti  0.5000  0.5000  0.5000  6 Bi 2.90
Bi  0.2396  0.2396  0.2396  3 Ti 2.90, 3 U 3.17
Bi  0.7604  0.7604  0.7604  3 Ti 2.90, 3 U 3.17

Summary:
formation energy: 91 meV per atom
energy above the most stable polymorph in this dataset: 0.0 meV/atom
magnetization: 2.3 μB per cell
V: 111 Å³/f.u.

Record 8
Computed, not measured: a relaxed La2CuSnC crystal at the PBE-GGA level of DFT.

Cell lengths 5.4597, 5.4597, 3.8832 Å; angles 90.00, 90.00, 90.00 degrees
Closest atoms and distances in Å follow each position.
Fractional coordinates of all 5 atoms:
La  0.0000  0.5000  0.0000  2 C 2.73
La  0.5000  0.0000  0.0000  2 C 2.73
Cu  0.0000  0.0000  0.5000  2 C 1.94
Sn  0.5000  0.5000  0.5000  8 La 3.35
C  0.0000  0.0000  0.0000  2 Cu 1.94

Summary:
formation energy: -282 meV per atom
magnetization: 0.0 μB per cell
V: 116 Å³/f.u.

Record 9
Computed, not measured: a relaxed Hg3SbPt crystal at the PBE-GGA level of DFT.

Cell lengths 5.2337, 5.2337, 5.2337 Å; angles 90.00, 90.00, 90.00 degrees
Closest atoms and distances in Å follow each position.
Fractional coordinates of all 5 atoms:
Hg  0.0000  0.0000  0.5000  2 Pt 2.62
Hg  0.0000  0.5000  0.0000  2 Pt 2.62
Hg  0.5000  0.0000  0.0000  2 Pt 2.62
Sb  0.5000  0.5000  0.5000  12 Hg 3.70
Pt  0.0000  0.0000  0.0000  6 Hg 2.62

Summary:
formation energy from raw total energies: 0.314 eV per atom
energy above the most stable polymorph in this dataset: 0.0 meV/atom
magnetization: 0.0 μB per cell
V: 143 Å³/f.u.

Record 10
Computed, not measured: a relaxed CaBN crystal at the PBE-GGA level of DFT.

Cell lengths 5.9810, 5.9810, 5.9810 Å; angles 145.54, 141.99, 52.24 degrees
Closest atoms and distances in Å follow each position.
Fractional coordinates of all 6 atoms:
Ca  0.1525  0.1525  0.0000  5 N 2.49-2.66, 4 B 2.67
Ca  0.8475  0.8475  0.0000  5 N 2.49-2.66, 4 B 2.67
B  0.5000  0.2301  0.7301  2 N 1.56, 1 B 1.63
B  0.5000  0.7699  0.2699  2 N 1.56, 1 B 1.63
N  0.3847  0.3847  0.0000  2 B 1.56
N  0.6153  0.6153  0.0000  2 B 1.56

Summary:
formation energy from raw total energies: -0.726 eV per atom
energy above the most stable polymorph in this dataset: 0.0 meV/atom
magnetization: 0.0 μB per cell
V: 37 Å³/f.u.

Record 11
Computed, not measured: a relaxed YCuWI2 crystal at the PBE-GGA level of DFT.

Cell lengths 5.2667, 5.2667, 5.7621 Å; angles 90.00, 90.00, 90.00 degrees
Closest atoms and distances in Å follow each position.
Fractional coordinates of all 5 atoms:
Y  0.0000  0.0000  0.0000  2 W 2.88
Cu  0.5000  0.5000  0.0000  4 Y 3.72, 8 I 3.90
W  0.0000  0.0000  0.5000  4 I 2.63, 2 Y 2.88
I  0.0000  0.5000  0.5000  2 W 2.63
I  0.5000  0.0000  0.5000  2 W 2.63

Summary:
formation energy from raw total energies: 0.932 eV per atom
magnetization: 0.0 μB per cell
V: 160 Å³/f.u.

Record 12
Computed, not measured: a relaxed Hf2TaBOs crystal at the PBE-GGA level of DFT.

Cell lengths 5.0670, 5.0670, 4.0147 Å; angles 90.00, 90.00, 90.00 degrees
Closest atoms and distances in Å follow each position.
Fractional coordinates of all 5 atoms:
Hf  0.0000  0.5000  0.0000  2 Ta 2.53
Hf  0.5000  0.0000  0.0000  2 Ta 2.53
Ta  0.0000  0.0000  0.0000  2 B 2.01
B  0.0000  0.0000  0.5000  2 Ta 2.01
Os  0.5000  0.5000  0.5000  8 Hf 3.23, 4 B 3.58

Summary:
formation energy: 1630 meV per atom
energy above the most stable polymorph in this dataset: 820.4 meV/atom
magnetization: 1.1 μB per cell
V: 103 Å³/f.u.